La3SnRh (GGA-PBE, relaxed); energy above the lowest structure with this stoichiometry = 102 meV per atom; ΔH_f (0 K) = -0.621 eV/atom; spin magnetization = 0.0 μB per formula unit
1.0
5.763 0.000 0.000
-2.852 6.345 0.000
-0.031 -3.773 8.547
La Sn Rh
6 2 2
Direct
0.111 0.219 0.241
0.155 0.303 0.643
0.374 0.751 0.098
0.626 0.249 0.902
0.845 0.697 0.357
0.889 0.781 0.759
0.392 0.792 0.550
0.608 0.208 0.450
0.131 0.259 0.938
0.869 0.741 0.062

=====

HfFeRe3 (GGA-PBE, relaxed); energy above the lowest structure with this stoichiometry = 1932 meV per atom; ΔH_f (0 K) = 2.939 eV/atom; spin magnetization = 0.0 μB per formula unit
1.0
4.691 0.000 0.000
0.000 4.691 0.000
0.000 0.000 4.691
Hf Fe Re
1 1 3
Direct
0.000 0.000 0.000
0.500 0.500 0.500
0.000 0.000 0.500
0.000 0.500 0.000
0.500 0.000 0.000

=====

CsPaAg2Te4 (GGA-PBE, relaxed); E_form (uncorrected) = -0.45 eV per atom; spin magnetization = 0.0 μB per formula unit
1.0
-3.549 4.608 5.017
3.549 -4.608 5.017
3.549 4.608 -5.017
Cs Pa Ag Te
1 1 2 4
Direct
0.000 0.000 0.000
0.500 0.500 0.000
0.358 0.858 0.500
0.642 0.142 0.500
0.135 0.112 0.596
0.484 0.888 0.023
0.516 0.540 0.404
0.865 0.460 0.977

=====

Mn2InAgTe4 (GGA-PBE, relaxed); E_form (uncorrected) = -0.19 eV per atom; spin magnetization = 10.0 μB per formula unit
1.0
-3.234 3.234 6.359
3.234 -3.234 6.359
3.234 3.234 -6.359
Mn In Ag Te
2 1 1 4
Direct
0.250 0.750 0.500
0.750 0.250 0.500
0.000 0.000 0.000
0.500 0.500 0.000
0.121 0.121 0.505
0.384 0.879 0.000
0.616 0.616 0.495
0.879 0.384 0.000

=====

KRbAlF2 (GGA-PBE, relaxed); E_form (uncorrected) = -1.03 eV per atom; spin magnetization = 0.0 μB per formula unit
1.0
4.872 0.000 0.000
0.000 4.872 0.000
0.000 0.000 6.121
K Rb Al F
1 1 1 2
Direct
0.000 0.000 0.000
0.500 0.500 0.000
0.000 0.000 0.500
0.000 0.500 0.500
0.500 0.000 0.500

=====

Sr2PtF6 (GGA-PBE, relaxed); E_form (uncorrected) = -2.78 eV per atom; spin magnetization = 2.0 μB per formula unit
1.0
5.412 0.000 0.000
0.000 5.412 0.000
0.000 0.000 11.324
Sr Pt F
4 2 12
Direct
0.000 0.000 0.165
0.000 0.000 0.835
0.500 0.500 0.335
0.500 0.500 0.665
0.000 0.000 0.500
0.500 0.500 0.000
0.184 0.184 0.341
0.184 0.184 0.659
0.207 0.207 0.000
0.293 0.707 0.500
0.316 0.684 0.159
0.316 0.684 0.841
0.684 0.316 0.159
0.684 0.316 0.841
0.707 0.293 0.500
0.793 0.793 0.000
0.816 0.816 0.341
0.816 0.816 0.659

=====

Cs2Ge2Te3 (GGA-PBE, relaxed); energy above the lowest structure with this stoichiometry = 0 meV per atom; E_form (uncorrected) = -0.52 eV per atom; spin magnetization = 0.0 μB per formula unit
1.0
7.348 -2.949 0.000
7.348 2.949 0.000
-2.265 0.000 7.575
Cs Ge Te
2 2 3
Direct
0.114 0.114 0.281
0.886 0.886 0.719
0.335 0.335 0.104
0.665 0.665 0.896
0.186 0.186 0.805
0.500 0.500 0.000
0.814 0.814 0.195

=====

Ca6Sb2AsO (GGA-PBE, relaxed); E_form (uncorrected) = -1.22 eV per atom; spin magnetization = 0.0 μB per formula unit
1.0
5.287 0.000 0.000
0.000 5.287 0.000
0.000 0.000 10.112
Ca Sb As O
6 2 1 1
Direct
0.000 0.000 0.224
0.000 0.000 0.776
0.000 0.500 0.000
0.000 0.500 0.500
0.500 0.000 0.000
0.500 0.000 0.500
0.500 0.500 0.228
0.500 0.500 0.772
0.000 0.000 0.500
0.000 0.000 0.000

=====

MnTlSe3 (GGA-PBE, relaxed); energy above the lowest structure with this stoichiometry = 364 meV per atom; E_form (uncorrected) = 0.11 eV per atom; spin magnetization = 0.0 μB per formula unit
1.0
4.837 0.000 0.000
0.000 4.837 0.000
0.000 0.000 4.837
Mn Tl Se
1 1 3
Direct
0.000 0.000 0.000
0.500 0.500 0.500
0.000 0.000 0.500
0.000 0.500 0.000
0.500 0.000 0.000

=====

La3BCCl3 (GGA-PBE, relaxed); E_form (uncorrected) = -1.46 eV per atom; spin magnetization = 0.0 μB per formula unit
1.0
8.383 0.000 0.000
0.000 3.768 0.000
-2.004 0.000 11.258
La B C Cl
6 2 2 6
Direct
0.111 0.250 0.316
0.204 0.250 0.892
0.290 0.750 0.611
0.710 0.250 0.389
0.796 0.750 0.108
0.889 0.750 0.684
0.036 0.250 0.540
0.964 0.750 0.460
0.101 0.250 0.679
0.899 0.750 0.321
0.147 0.750 0.095
0.407 0.750 0.376
0.457 0.750 0.861
0.543 0.250 0.139
0.593 0.250 0.624
0.853 0.250 0.905

=====

Ba4Th3SiN8 (GGA-PBE, relaxed); E_form (uncorrected) = -0.76 eV per atom; spin magnetization = 0.0 μB per formula unit
1.0
6.680 -3.552 0.000
6.680 3.552 0.000
-3.881 0.000 6.467
Ba Th Si N
4 3 1 8
Direct
0.000 0.000 0.000
0.000 0.500 0.000
0.500 0.000 0.000
0.500 0.500 0.000
0.000 0.000 0.500
0.000 0.500 0.500
0.500 0.000 0.500
0.500 0.500 0.500
0.218 0.218 0.689
0.219 0.219 0.265
0.277 0.682 0.660
0.318 0.723 0.340
0.682 0.277 0.660
0.723 0.318 0.340
0.781 0.781 0.735
0.782 0.782 0.311

=====

YThTeAs (GGA-PBE, relaxed); E_form (uncorrected) = -1.36 eV per atom; spin magnetization = 0.0 μB per formula unit
1.0
2.096 1.210 7.498
-2.096 1.210 7.498
0.000 -2.420 7.498
Y Th Te As
1 1 1 1
Direct
0.000 0.000 0.000
0.809 0.809 0.809
0.239 0.239 0.239
0.402 0.402 0.402

=====

- Which formula does entry 1 have?
  La3SnRh

=====

- Number 4 is which compound?
  Mn2InAgTe4

=====

- Look up the spin magnetization of the fourth one.
  10.0 μB per formula unit